VASP calculation (PBE-GGA) on crystalline LaMn2I8 at its relaxed geometry.

* formation energy from raw total energies: -8.24 eV per formula unit

abc: 7.3166 8.9234 8.9234
angles: 91.29 82.67 82.67
Each line ends with the local moment (μB).
Fractional coordinates of all 11 atoms:
La 0.0000 0.0000 0.0000  0.04
I 0.7773 0.0550 0.7185  0.04
I 0.3049 0.7776 0.7776  0.01
I 0.2111 0.4269 0.4269  -0.14
I 0.2227 0.2815 0.9450  0.04
I 0.7773 0.7185 0.0550  0.04
I 0.6951 0.2224 0.2224  0.01
I 0.7889 0.5731 0.5731  -0.14
I 0.2227 0.9450 0.2815  0.04
Mn 0.6678 0.7828 0.7828  4.12
Mn 0.3322 0.2172 0.2172  4.12